No. 1
Compound: PuCl
Source: the Alexandria database
Functional: GGA-PBE
Structure: optimized geometry

Geometry as POSCAR:
```
PuCl
1.0
3.545 0.000 0.000
0.000 5.677 0.000
0.000 0.000 4.855
Pu Cl
2 2
direct
0.250 0.250 0.139 Pu
0.750 0.750 0.861 Pu
0.250 0.750 0.355 Cl
0.750 0.250 0.645 Cl
```

The uncorrected formation energy is -0.998 eV per atom. The calculation puts the calculated volume at 24.4 A^3/atom.

---

No. 2
Compound: Pu2Cl3
Source: the Alexandria database
Functional: GGA-PBE
Structure: optimized geometry

Geometry as POSCAR:
```
Pu2Cl3
1.0
3.337 1.926 7.232
-3.337 1.926 7.232
0.000 -3.853 7.232
Pu Cl
4 6
direct
0.168 0.168 0.168 Pu
0.332 0.332 0.332 Pu
0.668 0.668 0.668 Pu
0.832 0.832 0.832 Pu
0.086 0.750 0.414 Cl
0.250 0.586 0.914 Cl
0.414 0.086 0.750 Cl
0.586 0.914 0.250 Cl
0.750 0.414 0.086 Cl
0.914 0.250 0.586 Cl
```

The uncorrected formation energy is -1.383 eV per atom. The calculation puts the calculated volume at 27.9 A^3/atom.

---

No. 3
Compound: PuCl3
Source: the Alexandria database
Functional: GGA-PBE
Structure: optimized geometry

Geometry as POSCAR:
```
PuCl3
1.0
11.701 0.000 0.000
0.000 11.701 0.000
0.000 0.000 6.727
Pu Cl
8 24
direct
0.000 0.192 0.157 Pu
0.000 0.808 0.843 Pu
0.192 0.500 0.343 Pu
0.308 0.000 0.343 Pu
0.500 0.308 0.157 Pu
0.500 0.692 0.843 Pu
0.692 0.000 0.657 Pu
0.808 0.500 0.657 Pu
0.031 0.608 0.619 Cl
0.108 0.969 0.119 Cl
0.120 0.676 0.120 Cl
0.144 0.156 0.472 Cl
0.156 0.356 0.028 Cl
0.176 0.880 0.620 Cl
0.324 0.620 0.620 Cl
0.344 0.144 0.028 Cl
0.356 0.344 0.472 Cl
0.380 0.824 0.120 Cl
0.392 0.531 0.119 Cl
0.469 0.892 0.619 Cl
0.531 0.108 0.381 Cl
0.608 0.469 0.881 Cl
0.620 0.176 0.880 Cl
0.644 0.656 0.528 Cl
0.656 0.856 0.972 Cl
0.676 0.380 0.380 Cl
0.824 0.120 0.380 Cl
0.844 0.644 0.972 Cl
0.856 0.844 0.528 Cl
0.880 0.324 0.880 Cl
0.892 0.031 0.881 Cl
0.969 0.392 0.381 Cl
```

The uncorrected formation energy is -1.829 eV per atom. The calculation puts the calculated volume at 28.8 A^3/atom.

---

No. 4
Compound: PuCl
Source: the Alexandria database
Functional: GGA-PBE
Structure: optimized geometry

Geometry as POSCAR:
```
PuCl
1.0
3.508 0.000 0.000
-1.754 3.038 0.000
0.000 0.000 4.471
Pu Cl
1 1
direct
0.000 0.000 0.000 Pu
0.333 0.667 0.500 Cl
```

The uncorrected formation energy is -1.042 eV per atom. The calculation puts the calculated volume at 23.8 A^3/atom.

---

> Which value of uncorrected formation energy does entry 1 give?

-0.998 eV per atom

---

Please write out number 1 again, unchanged.
Compound: PuCl
Source: the Alexandria database
Functional: GGA-PBE
Structure: optimized geometry

Geometry as POSCAR:
```
PuCl
1.0
3.545 0.000 0.000
0.000 5.677 0.000
0.000 0.000 4.855
Pu Cl
2 2
direct
0.250 0.250 0.139 Pu
0.750 0.750 0.861 Pu
0.250 0.750 0.355 Cl
0.750 0.250 0.645 Cl
```

The uncorrected formation energy is -0.998 eV per atom. The calculation puts the calculated volume at 24.4 A^3/atom.

---

> The lowest calculated volume belongs to which entry?

number 4

---

> What is the uncorrected formation energy in the second record?

-1.383 eV per atom